Record 1
Here is a relaxed KNaBr2F8 crystal from Alexandria via LeMat-Bulk. Energies are from PBE.

a b c (Å): 12.163 5.290 6.579
angles (deg): 90.00 95.93 90.00
Space group C2/m (No. 12)
Inequivalent atoms, fractional coordinates:
K  0.000  0.000  0.000 [2 per cell]
Na  0.000  0.500  0.500 [2 per cell]
Br  0.217  0.000  0.585 [4 per cell]
F  0.099  0.000  0.379 [4 per cell]
F  0.118  0.259  0.738 [8 per cell]
F  0.148  0.500  0.239 [4 per cell]

ΔE_f (raw) ... -16.0 eV per formula unit

Record 2
Here is a relaxed NaCeGe4 crystal from Alexandria via LeMat-Bulk. Energies are from PBE.

a b c (Å): 7.982 7.982 7.982
angles (deg): 90.00 90.00 90.00
Space group F-43m (No. 216)
Inequivalent atoms, fractional coordinates:
Na  0.000  0.000  0.000 [4 per cell]
Ce  0.250  0.250  0.250 [4 per cell]
Ge  0.125  0.125  0.625 [16 per cell]

Calculated formation energy ... -252 meV per atom

Record 3
Here is a relaxed ZrCrAgS4 crystal from Alexandria via LeMat-Bulk. Energies are from PBE.

a b c (Å): 6.382 7.329 12.446
angles (deg): 82.10 85.71 89.96
Space group P1 (No. 1)
Inequivalent atoms, fractional coordinates:
Zr  0.000  0.000  0.000 [1 per cell]
Zr  0.011  0.093  0.479 [1 per cell]
Zr  0.503  0.368  0.476 [1 per cell]
Zr  0.963  0.556  0.752 [1 per cell]
Cr  0.035  0.621  0.488 [1 per cell]
Cr  0.437  0.742  0.983 [1 per cell]
Cr  0.461  0.243  0.985 [1 per cell]
Cr  0.492  0.801  0.719 [1 per cell]
Ag  0.546  0.310  0.738 [1 per cell]
Ag  0.556  0.900  0.283 [1 per cell]
Ag  0.914  0.438  0.102 [1 per cell]
Ag  0.950  0.084  0.742 [1 per cell]
S  0.127  0.720  0.098 [1 per cell]
S  0.160  0.356  0.609 [1 per cell]
S  0.169  0.191  0.111 [1 per cell]
S  0.172  0.820  0.616 [1 per cell]
S  0.311  0.553  0.850 [1 per cell]
S  0.315  0.016  0.858 [1 per cell]
S  0.340  0.628  0.374 [1 per cell]
S  0.356  0.147  0.374 [1 per cell]
S  0.541  0.475  0.087 [1 per cell]
S  0.604  0.965  0.077 [1 per cell]
S  0.651  0.068  0.605 [1 per cell]
S  0.687  0.601  0.609 [1 per cell]
S  0.757  0.777  0.854 [1 per cell]
S  0.815  0.295  0.888 [1 per cell]
S  0.872  0.402  0.388 [1 per cell]
S  0.904  0.868  0.371 [1 per cell]

Distance to the lowest polymorph of the same formula ... 125.1 meV per atom
ΔE_f (raw) ... -5.5 eV per formula unit

Record 4
Here is a relaxed Cu2NiAg crystal from Alexandria via LeMat-Bulk. Energies are from PBE.

a b c (Å): 8.698 2.683 4.598
angles (deg): 90.00 100.70 90.00
Space group Cm (No. 8)
Inequivalent atoms, fractional coordinates:
Cu  0.000  0.000  0.000 [2 per cell]
Cu  0.247  0.500  0.238 [2 per cell]
Ni  0.258  0.000  0.773 [2 per cell]
Ag  0.003  0.500  0.504 [2 per cell]

Calculated formation energy ... 140 meV per atom

Record 5
Here is a relaxed Tb12Pd6Pt crystal from Alexandria via LeMat-Bulk. Energies are from PBE.

a b c (Å): 12.6666 12.6666 11.7444
angles (deg): 90.00 90.00 120.00
Space group R-3 (No. 148, hexagonal axes)
Inequivalent atoms, fractional coordinates:
Tb  0.0260  0.2106  0.3901 [18 per cell]
Tb  0.0387  0.2053  0.8818 [18 per cell]
Pd  0.0422  0.2640  0.6450 [18 per cell]
Pt  0.0000  0.0000  0.0000 [3 per cell]

Calculated formation energy ... -580 meV per atom

Record 6
Here is a relaxed YTc4Ag crystal from Alexandria via LeMat-Bulk. Energies are from PBE.

a b c (Å): 7.488 7.488 7.488
angles (deg): 90.00 90.00 90.00
Space group F-43m (No. 216)
Inequivalent atoms, fractional coordinates:
Y  0.000  0.000  0.000 [4 per cell]
Tc  0.124  0.124  0.376 [16 per cell]
Ag  0.250  0.250  0.750 [4 per cell]

Calculated formation energy ... 194 meV per atom

Record 7
Here is a relaxed La5Pr2DyTh crystal from Alexandria via LeMat-Bulk. Energies are from PBE.

a b c (Å): 5.595 22.118 10.619
angles (deg): 90.00 90.00 90.00
Space group Cmcm (No. 63)
Inequivalent atoms, fractional coordinates:
La  0.000  0.000  0.000 [4 per cell]
La  0.000  0.131  0.250 [4 per cell]
La  0.000  0.224  0.559 [8 per cell]
La  0.000  0.498  0.250 [4 per cell]
Pr  0.000  0.388  0.501 [8 per cell]
Dy  0.000  0.103  0.750 [4 per cell]
Th  0.000  0.291  0.250 [4 per cell]

Calculated formation energy ... 116 meV per atom

Record 8
Here is a relaxed Th3CoPd crystal from Alexandria via LeMat-Bulk. Energies are from PBE.

a b c (Å): 7.0990 7.0990 19.0055
angles (deg): 90.00 90.00 120.00
Space group R-3 (No. 148, hexagonal axes)
Inequivalent atoms, fractional coordinates:
Th  0.0066  0.3950  0.4147 [18 per cell]
Co  0.0000  0.0000  0.1650 [6 per cell]
Pd  0.0000  0.0000  0.3707 [6 per cell]

Distance to the lowest polymorph of the same formula ... 82.1 meV per atom
Calculated formation energy ... -270 meV per atom

Record 9
Here is a relaxed CsY3Mg crystal from Alexandria via LeMat-Bulk. Energies are from PBE.

a b c (Å): 5.912 5.912 5.912
angles (deg): 90.00 90.00 90.00
Space group Pm-3m (No. 221)
Inequivalent atoms, fractional coordinates:
Cs  0.000  0.000  0.000 [1 per cell]
Y  0.000  0.500  0.500 [3 per cell]
Mg  0.500  0.500  0.500 [1 per cell]

Distance to the lowest polymorph of the same formula ... 0.0 meV per atom
Calculated formation energy ... 695 meV per atom

Record 10
Here is a relaxed KNa2Re crystal from Alexandria via LeMat-Bulk. Energies are from PBE.

a b c (Å): 7.841 7.841 7.841
angles (deg): 90.00 90.00 90.00
Space group Fm-3m (No. 225)
Inequivalent atoms, fractional coordinates:
K  0.000  0.000  0.000 [4 per cell]
Na  0.250  0.250  0.250 [8 per cell]
Re  0.000  0.000  0.500 [4 per cell]

Distance to the lowest polymorph of the same formula ... 0.0 meV per atom
Calculated formation energy ... 1373 meV per atom

Record 11
Here is a relaxed Rb3TbTm2S6 crystal from Alexandria via LeMat-Bulk. Energies are from PBE.

a b c (Å): 7.016 12.151 8.029
angles (deg): 90.00 106.93 90.00
Space group C2/m (No. 12)
Inequivalent atoms, fractional coordinates:
Rb  0.000  0.000  0.000 [2 per cell]
Rb  0.000  0.334  0.000 [4 per cell]
Tb  0.000  0.500  0.500 [2 per cell]
Tm  0.000  0.167  0.500 [4 per cell]
S  0.226  0.000  0.690 [4 per cell]
S  0.232  0.331  0.691 [8 per cell]

ΔE_f (raw) ... -22.2 eV per formula unit

Record 12
Here is a relaxed Tb2PrCd crystal from Alexandria via LeMat-Bulk. Energies are from PBE.

a b c (Å): 3.6458 3.6458 32.6767
angles (deg): 90.00 90.00 120.00
Space group R3m (No. 160, hexagonal axes)
Inequivalent atoms, fractional coordinates:
Tb  0.0000  0.0000  0.0000 [3 per cell]
Tb  0.0000  0.0000  0.1823 [3 per cell]
Pr  0.0000  0.0000  0.7579 [3 per cell]
Cd  0.0000  0.0000  0.5913 [3 per cell]

Distance to the lowest polymorph of the same formula ... 92.7 meV per atom
Calculated formation energy ... -55 meV per atom